No. 1
DFT (SCAN) results for a PBEsol-optimized structure of BaBeRh2.

abc: 3.936 3.936 8.894
angles: 90.00 90.00 90.00
Space group I-4m2 (No. 119)
Asymmetric unit:
Ba 0.000 0.000 0.000 (multiplicity 2)
Be 0.000 0.500 0.250 (multiplicity 2)
Rh 0.000 0.000 0.500 (multiplicity 2)
Rh 0.000 0.500 0.750 (multiplicity 2)

crystal system = tetragonal
energy of formation from the pure elements = 0.58 eV per atom

No. 2
DFT (SCAN) results for a PBEsol-optimized structure of LiTiP4O12.

abc: 17.216 12.291 5.271
angles: 90.00 101.93 90.00
Space group C2/m (No. 12)
Asymmetric unit:
Li 0.091 0.000 0.015 (multiplicity 4)
Ti 0.250 0.250 0.500 (multiplicity 4)
P 0.078 0.214 0.670 (multiplicity 8)
P 0.184 0.380 0.962 (multiplicity 8)
O 0.000 0.269 0.500 (multiplicity 4)
O 0.059 0.119 0.815 (multiplicity 8)
O 0.104 0.315 0.868 (multiplicity 8)
O 0.139 0.203 0.501 (multiplicity 8)
O 0.151 0.500 0.889 (multiplicity 4)
O 0.209 0.372 0.252 (multiplicity 8)
O 0.245 0.351 0.807 (multiplicity 8)

ΔE_f (raw) = -2.5135 eV per atom
crystal system = monoclinic

No. 3
DFT (SCAN) results for a PBEsol-optimized structure of YNiSe.

abc: 6.202 6.202 6.202
angles: 90.00 90.00 90.00
Space group F-43m (No. 216)
Asymmetric unit:
Y 0.000 0.000 0.000 (multiplicity 4)
Ni 0.000 0.000 0.500 (multiplicity 4)
Se 0.250 0.250 0.750 (multiplicity 4)

ΔE_f (raw) = -0.4813 eV per atom
crystal system = cubic

No. 4
DFT (SCAN) results for a PBEsol-optimized structure of Ti2BiNF.

abc: 5.289 5.289 4.325
angles: 90.00 90.00 90.00
Space group P4/mmm (No. 123)
Asymmetric unit:
Ti 0.000 0.500 0.000 (multiplicity 2)
Bi 0.000 0.000 0.000 (multiplicity 1)
N 0.500 0.500 0.500 (multiplicity 1)
F 0.000 0.000 0.500 (multiplicity 1)

ΔE_f (raw) = 1.0890 eV per atom
crystal system = tetragonal

No. 5
DFT (SCAN) results for a PBEsol-optimized structure of Mn8As.

abc: 7.421 7.421 3.499
angles: 90.00 90.00 90.00
Space group I4/mmm (No. 139)
Asymmetric unit:
Mn 0.000 0.344 0.000 (multiplicity 8)
Mn 0.176 0.176 0.500 (multiplicity 8)
As 0.000 0.000 0.000 (multiplicity 2)

crystal system = tetragonal
energy of formation from the pure elements = 0.06 eV per atom

No. 6
DFT (SCAN) results for a PBEsol-optimized structure of CuIr3W.

abc: 4.672 4.672 4.672
angles: 90.00 90.00 90.00
Space group Pm-3m (No. 221)
Asymmetric unit:
Cu 0.000 0.000 0.000 (multiplicity 1)
Ir 0.000 0.500 0.500 (multiplicity 3)
W 0.500 0.500 0.500 (multiplicity 1)

crystal system = cubic
energy of formation from the pure elements = 1.92 eV per atom

No. 7
DFT (SCAN) results for a PBEsol-optimized structure of FeSi2Mo.

abc: 4.088 4.088 2.915
angles: 90.00 90.00 90.00
Space group P4/mmm (No. 123)
Asymmetric unit:
Fe 0.000 0.000 0.000 (multiplicity 1)
Si 0.000 0.500 0.500 (multiplicity 2)
Mo 0.500 0.500 0.000 (multiplicity 1)

ΔE_f (raw) = -0.1049 eV per atom
crystal system = tetragonal

No. 8
DFT (SCAN) results for a PBEsol-optimized structure of Ta2IrBr.

abc: 3.824 3.824 9.277
angles: 90.00 90.00 90.00
Space group I-4m2 (No. 119)
Asymmetric unit:
Ta 0.000 0.000 0.000 (multiplicity 2)
Ta 0.000 0.500 0.250 (multiplicity 2)
Ir 0.000 0.500 0.750 (multiplicity 2)
Br 0.000 0.000 0.500 (multiplicity 2)

ΔE_f (raw) = 0.6999 eV per atom
crystal system = tetragonal

No. 9
DFT (SCAN) results for a PBEsol-optimized structure of BeBi2H2.

abc: 7.284 7.284 3.282
angles: 90.00 90.00 90.00
Space group P4/mbm (No. 127)
Asymmetric unit:
Be 0.000 0.000 0.000 (multiplicity 2)
Bi 0.246 0.254 0.000 (multiplicity 4)
H 0.038 0.462 0.500 (multiplicity 4)

crystal system = tetragonal

No. 10
DFT (SCAN) results for a PBEsol-optimized structure of Si5Hg4.

abc: 9.826 9.826 3.546
angles: 90.00 90.00 90.00
Space group I4/mmm (No. 139)
Asymmetric unit:
Si 0.000 0.000 0.000 (multiplicity 2)
Si 0.183 0.183 0.500 (multiplicity 8)
Hg 0.000 0.318 0.000 (multiplicity 8)

ΔE_f (raw) = 0.7292 eV per atom
crystal system = tetragonal

no.,total DFT energy (no corrections) (hartree per atom)
1,-1.003
2,-0.368
3,-0.803
4,-0.867
5,-0.677
6,-2.121
7,-0.675
8,-2.030
9,-1.220
10,-1.291